The following is a DFT calculation (GGA-PBE) of crystalline Rb2NaTeS4 at its relaxed geometry.

Cell lengths 6.5115, 14.1524, 24.8770 Å; angles 90.00, 90.00, 90.00 degrees
Space group Fddd (No. 70, origin choice 2)
Unique sites:
1 Rb 0.1250 0.1250 0.3093 [16 per cell]
2 Na 0.1250 0.1250 0.1250 [8 per cell]
3 Te 0.1250 0.1250 0.6250 [8 per cell]
4 S 0.0910 0.2670 0.8230 [32 per cell]

***

The following is a DFT calculation (GGA-PBE) of crystalline RbNa2TeS4 at its relaxed geometry.

Cell lengths 7.6917, 8.1875, 14.4243 Å; angles 90.00, 90.00, 90.00 degrees
Space group Imma (No. 74)
Unique sites:
1 Rb 0.0000 0.0000 0.0000 [4 per cell]
2 Na 0.0000 0.0000 0.5000 [4 per cell]
3 Na 0.2500 0.2500 0.2500 [4 per cell]
4 Te 0.2500 0.2500 0.7500 [4 per cell]
5 S 0.0000 0.0163 0.7671 [8 per cell]
6 S 0.1910 0.2500 0.5673 [8 per cell]

***

The following is a DFT calculation (GGA-PBE) of crystalline Rb2Na2ThS4 at its relaxed geometry.

Cell lengths 16.2094, 4.3601, 8.1495 Å; angles 90.00, 113.66, 90.00 degrees
Space group C2/m (No. 12)
Unique sites:
1 Rb 0.1427 0.0000 0.0479 [4 per cell]
2 Na 0.1787 0.5000 0.4706 [4 per cell]
3 Th 0.0000 0.0000 0.5000 [2 per cell]
4 S 0.0010 0.5000 0.2741 [4 per cell]
5 S 0.1895 0.0000 0.6720 [4 per cell]

***

| no. | formation energy (no corrections) (meV/atom) |
| --- | --- |
| 1 | -561 |
| 2 | -496 |
| 3 | -1424 |